The following is a DFT calculation (SCAN) of a crystal of Li2AsIr relaxed with PBEsol.

abc: 2.6963 2.6963 8.6211
angles: 90.00 90.00 115.90
Last column: nearest neighbours and their distance in Å.
Atoms (fractional coordinates):
Ir: 0.5000 0.5000 0.0000  4 Li 2.55, 4 Ir 2.70
Li: 0.0000 0.0000 0.7548  2 Ir 2.55, 2 As 2.62, 4 Li 2.70
Li: 0.0000 0.0000 0.2452  2 Ir 2.55, 2 As 2.62, 4 Li 2.70
As: 0.5000 0.5000 0.5000  4 Li 2.62, 6 As 2.70-2.86

## Properties
* SG: Cmmm
* energy relative to the elements: -0.26 eV per atom
* Fermi-level density of states: 2.21 states/eV/cell
* volume: 14.095 Å³/atom

The following is a DFT calculation (SCAN) of a crystal of Li2As2Ir relaxed with PBEsol.

abc: 4.2390 6.1769 6.1769
angles: 90.00 90.00 90.00
Last column: nearest neighbours and their distance in Å.
Atoms (fractional coordinates):
Li: 0.5000 0.3215 0.1785  6 As 2.66-2.89
Li: 0.5000 0.8215 0.3215  6 As 2.66-2.89
Li: 0.5000 0.6785 0.8215  6 As 2.66-2.89
Li: 0.5000 0.1785 0.6785  6 As 2.66-2.89
As: 0.0000 0.8620 0.6380  2 Ir 2.39, 1 As 2.41, 2 Li 2.66
As: 0.0000 0.3620 0.8620  2 Ir 2.39, 1 As 2.41, 2 Li 2.66
As: 0.0000 0.1380 0.3620  2 Ir 2.39, 1 As 2.41, 2 Li 2.66
As: 0.0000 0.6380 0.1380  2 Ir 2.39, 1 As 2.41, 2 Li 2.66
Ir: 0.0000 0.5000 0.5000  4 As 2.39
Ir: 0.0000 0.0000 0.0000  4 As 2.39

## Properties
* SG: P4/mbm
* energy relative to the elements: -0.65 eV per atom
* Fermi-level density of states: 1.83 states/eV/cell
* volume: 16.173 Å³/atom

The following is a DFT calculation (SCAN) of a crystal of Li2AsIrRh relaxed with PBEsol.

abc: 4.3202 4.3202 4.4720
angles: 90.00 90.00 90.00
Last column: nearest neighbours and their distance in Å.
Atoms (fractional coordinates):
Rh: 0.5000 0.5000 0.5000  4 Ir 3.05, 8 Li 3.11
Li: 0.5000 0.0000 0.0000  2 As 2.16
Li: 0.0000 0.5000 0.0000  2 As 2.16
Ir: 0.0000 0.0000 0.5000  2 As 2.24
As: 0.0000 0.0000 0.0000  4 Li 2.16, 2 Ir 2.24

## Properties
* SG: P4/mmm
* energy relative to the elements: 0.46 eV per atom
* Fermi-level density of states: 2.37 states/eV/cell
* volume: 16.693 Å³/atom

- What is the volume in the second record?
  16.173 Å³/atom